A plane-wave DFT calculation with PBE was carried out for a geometry-optimized LiSmRu structure.

a = 9.103 Å, b = 9.103 Å, c = 4.273 Å
α = 90.00°, β = 90.00°, γ = 157.27°
Element x y z (fractional)
Ru1 0.454 0.546 0.750
Ru2 0.546 0.454 0.250
Sm1 0.090 0.910 0.750
Sm2 0.910 0.090 0.250
Li1 0.703 0.297 0.250
Li2 0.297 0.703 0.750

Computed properties:
Raw total energy = -0.195 hartree per atom
N(E_F) = 6.3 states/eV/cell
Calculated density = 6.27 g/cm3
Formation energy from the elements = 0.00 eV/atom
Space-group type = Cmcm (63)
Volume = 22.8 A^3/atom
Offset from the most stable computed form = 0.000 eV per formula unit